Record 1
VASP calculation (GGA-PBE) on TaAg2Ru after structural relaxation.

Unit cell a=3.7850 b=3.7850 c=4.6231 alpha=90.00 beta=90.00 gamma=90.00
Last column: nearest neighbours and their distance in Å.
Sites, in units of the cell vectors:
Ta 0.0000 0.0000 0.0000  4 Ru 2.68, 8 Ag 2.99
Ag 0.0000 0.5000 0.5000  4 Ag 2.68, 4 Ta 2.99, 4 Ru 2.99
Ag 0.5000 0.0000 0.5000  4 Ag 2.68, 4 Ta 2.99, 4 Ru 2.99
Ru 0.5000 0.5000 0.0000  4 Ta 2.68, 8 Ag 2.99

The value obtained for the calculated density is 12.480 g/cm³. The total moment is 0.00 μB per cell. The symmetry is P4/mmm. Its relative energy among the computed polymorphs is 118 meV/atom. As for the formation energy: 96 kJ/mol of formula units.

Record 2
VASP calculation (GGA-PBE) on TaAg2Ru after structural relaxation.

Unit cell a=2.7290 b=2.7290 c=9.7370 alpha=90.00 beta=90.00 gamma=110.58
Last column: nearest neighbours and their distance in Å.
Sites, in units of the cell vectors:
Ta 0.0000 0.0000 0.0000  4 Ta 2.73, 4 Ag 2.93
Ag 0.5000 0.5000 0.2551  4 Ag 2.73, 2 Ru 2.85, 2 Ta 2.93
Ag 0.5000 0.5000 0.7449  4 Ag 2.73, 2 Ru 2.85, 2 Ta 2.93
Ru 0.0000 0.0000 0.5000  4 Ru 2.73, 4 Ag 2.85

The value obtained for the calculated density is 12.175 g/cm³. The total moment is 1.09 μB per cell. The symmetry is Cmmm. Its relative energy among the computed polymorphs is 372 meV/atom. As for the formation energy: 194 kJ/mol of formula units.

Record 3
VASP calculation (GGA-PBE) on TaAg2Ru after structural relaxation.

Unit cell a=4.5525 b=4.5525 c=4.5525 alpha=60.00 beta=60.00 gamma=60.00
Last column: nearest neighbours and their distance in Å.
Sites, in units of the cell vectors:
Ta 0.0000 0.0000 0.0000  8 Ag 2.79
Ag 0.2500 0.2500 0.2500  4 Ta 2.79, 4 Ru 2.79
Ag 0.7500 0.7500 0.7500  4 Ta 2.79, 4 Ru 2.79
Ru 0.5000 0.5000 0.5000  8 Ag 2.79

The value obtained for the calculated density is 12.388 g/cm³. The total moment is 0.00 μB per cell. The symmetry is Fm-3m. Its relative energy among the computed polymorphs is 517 meV/atom. As for the formation energy: 250 kJ/mol of formula units.

Record 4
VASP calculation (GGA-PBE) on TaAg2Ru after structural relaxation.

Unit cell a=5.3140 b=5.3140 c=5.3140 alpha=138.24 beta=138.24 gamma=60.53
Last column: nearest neighbours and their distance in Å.
Sites, in units of the cell vectors:
Ta 0.0000 0.0000 0.0000  4 Ru 2.68, 8 Ag 2.98
Ag 0.2500 0.7500 0.5000  4 Ag 2.68, 4 Ta 2.98, 4 Ru 2.98
Ag 0.7500 0.2500 0.5000  4 Ag 2.68, 4 Ta 2.98, 4 Ru 2.98
Ru 0.5000 0.5000 0.0000  4 Ta 2.68, 8 Ag 2.98

The value obtained for the calculated density is 12.553 g/cm³. The total moment is 0.00 μB per cell. The symmetry is I4/mmm. Its relative energy among the computed polymorphs is 51 meV/atom. As for the formation energy: 70 kJ/mol of formula units.

Record 5
VASP calculation (GGA-PBE) on TaAg2Ru after structural relaxation.

Unit cell a=5.9105 b=5.9105 c=5.9105 alpha=100.99 beta=100.99 gamma=128.23
Last column: nearest neighbours and their distance in Å.
Sites, in units of the cell vectors:
Ta 0.0000 0.0000 0.0000  2 Ru 2.58, 4 Ag 2.77
Ta 0.7500 0.2500 0.5000  2 Ru 2.58, 4 Ag 2.77
Ag 0.1309 0.6250 0.0059  2 Ag 2.58, 2 Ru 2.71, 2 Ta 2.77
Ag 0.3750 0.3809 0.5059  2 Ag 2.58, 2 Ru 2.71, 2 Ta 2.77
Ag 0.6191 0.1250 0.9941  2 Ag 2.58, 2 Ru 2.71, 2 Ta 2.77
Ag 0.8750 0.8691 0.4941  2 Ag 2.58, 2 Ru 2.71, 2 Ta 2.77
Ru 0.2500 0.7500 0.5000  2 Ta 2.58, 4 Ag 2.71
Ru 0.5000 0.5000 0.0000  2 Ta 2.58, 4 Ag 2.71

The value obtained for the calculated density is 11.328 g/cm³. The total moment is 0.00 μB per cell. The symmetry is I-42d. Its relative energy among the computed polymorphs is 762 meV/atom. As for the formation energy: 345 kJ/mol of formula units.

Record 6
VASP calculation (GGA-PBE) on TaAg2Ru after structural relaxation.

Unit cell a=2.7990 b=4.4864 c=5.2839 alpha=90.00 beta=90.00 gamma=90.00
Last column: nearest neighbours and their distance in Å.
Sites, in units of the cell vectors:
Ta 0.0000 0.0000 0.0000  2 Ru 2.64, 2 Ta 2.80
Ag 0.5000 0.5000 0.2522  4 Ag 2.62-2.80
Ag 0.5000 0.5000 0.7478  4 Ag 2.62-2.80
Ru 0.0000 0.0000 0.5000  2 Ta 2.64, 2 Ru 2.80, 8 Ag 2.95

The value obtained for the calculated density is 12.457 g/cm³. The total moment is 0.00 μB per cell. The symmetry is Pmmm. Its relative energy among the computed polymorphs is 228 meV/atom. As for the formation energy: 139 kJ/mol of formula units.

Record 7
VASP calculation (GGA-PBE) on TaAg2Ru after structural relaxation.

Unit cell a=5.0110 b=5.0110 c=4.8036 alpha=110.32 beta=110.32 gamma=38.04
Last column: nearest neighbours and their distance in Å.
Sites, in units of the cell vectors:
Ta 0.0000 0.0000 0.0000  2 Ru 2.45
Ag 0.5286 0.5286 0.5251  3 Ag 2.81-2.84, 3 Ru 2.90-3.08, 4 Ta 2.90-2.93
Ag 0.7693 0.7693 0.3066  3 Ag 2.81-2.84, 4 Ru 2.90-2.93, 3 Ta 2.93-3.05
Ru 0.2931 0.2931 0.8281  2 Ta 2.45

The value obtained for the calculated density is 11.955 g/cm³. The total moment is 0.00 μB per cell. The symmetry is Cm. Its relative energy among the computed polymorphs is 133 meV/atom. As for the formation energy: 102 kJ/mol of formula units.

Record 8
VASP calculation (GGA-PBE) on Ta2AgRu2 after structural relaxation.

Unit cell a=6.1838 b=6.1838 c=6.1838 alpha=140.06 beta=140.06 gamma=57.76
Last column: nearest neighbours and their distance in Å.
Sites, in units of the cell vectors:
Ta 0.2500 0.7500 0.5000  4 Ru 2.56
Ta 0.7500 0.2500 0.5000  4 Ru 2.56
Ag 0.0000 0.0000 0.0000  8 Ru 3.24, 8 Ta 3.43
Ru 0.3836 0.3836 0.0000  1 Ru 2.52, 4 Ta 2.56
Ru 0.6164 0.6164 0.0000  1 Ru 2.52, 4 Ta 2.56

The value obtained for the calculated density is 11.551 g/cm³. The total moment is 0.00 μB per cell. The symmetry is I4/mmm. Its relative energy among the computed polymorphs is 245 meV/atom. As for the formation energy: 84 kJ/mol of formula units.

Record 9
VASP calculation (GGA-PBE) on TaAg2Ru after structural relaxation.

Unit cell a=3.0434 b=3.0434 c=7.5368 alpha=90.00 beta=90.00 gamma=90.00
Last column: nearest neighbours and their distance in Å.
Sites, in units of the cell vectors:
Ta 0.0000 0.0000 0.0000  4 Ru 2.60
Ag 0.0000 0.0000 0.5396  8 Ag 2.90-3.04, 4 Ru 2.95
Ag 0.5000 0.5000 0.2823  8 Ag 2.90-3.04, 4 Ta 3.03
Ru 0.5000 0.5000 0.8069  4 Ta 2.60

The value obtained for the calculated density is 11.840 g/cm³. The total moment is 0.00 μB per cell. The symmetry is P4mm. Its relative energy among the computed polymorphs is 0 meV/atom. As for the formation energy: 51 kJ/mol of formula units.

Record 10
VASP calculation (GGA-PBE) on TaAg2Ru after structural relaxation.

Unit cell a=4.9783 b=4.9783 c=4.9783 alpha=134.98 beta=128.25 gamma=70.98
Last column: nearest neighbours and their distance in Å.
Sites, in units of the cell vectors:
Ta 0.0000 0.0000 0.0000  2 Ru 2.56
Ag 0.2676 0.7676 0.5000  4 Ag 2.83-2.93, 4 Ta 2.88-2.89, 4 Ru 2.90
Ag 0.5258 0.5258 0.0000  4 Ag 2.83-2.93, 4 Ru 2.87-2.90, 4 Ta 2.90
Ru 0.7898 0.2898 0.5000  2 Ta 2.56

The value obtained for the calculated density is 12.311 g/cm³. The total moment is 0.00 μB per cell. The symmetry is Imm2. Its relative energy among the computed polymorphs is 115 meV/atom. As for the formation energy: 95 kJ/mol of formula units.

- The highest total moment belongs to which entry?
  number 2

- Which value of total moment does entry 4 give?
  0.00 μB per cell

Copy entry 2 word for word.
VASP calculation (GGA-PBE) on TaAg2Ru after structural relaxation.

Unit cell a=2.7290 b=2.7290 c=9.7370 alpha=90.00 beta=90.00 gamma=110.58
Last column: nearest neighbours and their distance in Å.
Sites, in units of the cell vectors:
Ta 0.0000 0.0000 0.0000  4 Ta 2.73, 4 Ag 2.93
Ag 0.5000 0.5000 0.2551  4 Ag 2.73, 2 Ru 2.85, 2 Ta 2.93
Ag 0.5000 0.5000 0.7449  4 Ag 2.73, 2 Ru 2.85, 2 Ta 2.93
Ru 0.0000 0.0000 0.5000  4 Ru 2.73, 4 Ag 2.85

The value obtained for the calculated density is 12.175 g/cm³. The total moment is 1.09 μB per cell. The symmetry is Cmmm. Its relative energy among the computed polymorphs is 372 meV/atom. As for the formation energy: 194 kJ/mol of formula units.